P) DFT (PBE) results for a relaxed KScOs2 crystal.

Properties
The space group is Cmmm (65). The calculation puts the density of states at the Fermi level at 3.2 states/eV/f.u. Its spin magnetization is 0.00 μB per formula unit.

a b c (Å): 2.8225 2.8225 10.0203
angles (deg): 90.00 90.00 113.84
Last column: nearest neighbours and their distance in Å.
Fractional positions:
K1 0.5000 0.5000 0.7500  6 K 2.82-3.08
Os1 0.0000 0.0000 0.4659  2 Sc 2.66, 4 Os 2.82
Os2 0.0000 0.0000 0.0341  2 Sc 2.66, 4 Os 2.82
Sc1 0.5000 0.5000 0.2500  4 Os 2.66, 4 Sc 2.82


Q) DFT (PBE) results for a relaxed KScOs2 crystal.

Properties
The space group is I-42d (122). The calculation puts the density of states at the Fermi level at 2.6 states/eV/f.u. Its spin magnetization is 0.00 μB per formula unit.

a b c (Å): 4.5186 4.5186 10.0802
angles (deg): 77.05 77.05 90.00
Last column: nearest neighbours and their distance in Å.
Fractional positions:
K1 0.2500 0.7500 0.5000  4 Os 3.18, 4 Sc 3.20
K2 0.5000 0.5000 0.0000  4 Os 3.18, 4 Sc 3.20
Sc1 0.7500 0.2500 0.5000  4 Os 2.69
Sc2 0.0000 0.0000 0.0000  4 Os 2.69
Os1 0.9828 0.1250 0.2500  2 Os 2.46, 2 Sc 2.69
Os2 0.3750 0.0172 0.7500  2 Os 2.46, 2 Sc 2.69
Os3 0.8750 0.2328 0.7500  2 Os 2.46, 2 Sc 2.69
Os4 0.7672 0.6250 0.2500  2 Os 2.46, 2 Sc 2.69


R) DFT (PBE) results for a relaxed KScOs2 crystal.

Properties
The space group is C2/m (12). The calculation puts the density of states at the Fermi level at 4.2 states/eV/f.u. Its spin magnetization is 0.00 μB per formula unit.

a b c (Å): 5.1951 5.6915 2.7612
angles (deg): 78.82 83.88 115.50
Last column: nearest neighbours and their distance in Å.
Fractional positions:
Sc1 0.0000 0.5000 0.5000  2 Sc 2.76, 4 K 2.81-3.07, 4 Os 2.91
K1 0.5000 0.5000 0.0000  2 K 2.76, 4 Sc 2.81-3.07, 4 Os 2.91
Os1 0.5000 0.0000 0.5000  6 Os 2.76-3.07, 2 Sc 2.91, 2 K 2.91
Os2 0.0000 0.0000 0.0000  6 Os 2.76-3.07, 2 K 2.91, 2 Sc 2.91


Most stable to least stable: P), R), Q)


P) DFT (PBE) results for a relaxed KScOs2 crystal.

Properties
The space group is Fm-3m (225). The calculation puts the density of states at the Fermi level at 4.7 states/eV/f.u. Its spin magnetization is 0.00 μB per formula unit.

a b c (Å): 4.7214 4.7214 4.7214
angles (deg): 60.00 60.00 60.00
Last column: nearest neighbours and their distance in Å.
Fractional positions:
K1 0.0000 0.0000 0.0000  8 Os 2.89
Os1 0.7500 0.7500 0.7500  4 K 2.89, 4 Sc 2.89
Os2 0.2500 0.2500 0.2500  4 Sc 2.89, 4 K 2.89
Sc1 0.5000 0.5000 0.5000  8 Os 2.89


Q) DFT (PBE) results for a relaxed KScOs2 crystal.

Properties
The space group is P4/mmm (123). The calculation puts the density of states at the Fermi level at 4.5 states/eV/f.u. Its spin magnetization is 0.01 μB per formula unit.

a b c (Å): 3.4229 3.4229 7.7948
angles (deg): 90.00 90.00 90.00
Last column: nearest neighbours and their distance in Å.
Fractional positions:
Os1 0.0000 0.0000 0.4085  1 Os 2.47, 4 Sc 2.72
Os2 0.0000 0.0000 0.0915  1 Os 2.47, 4 Sc 2.72
K1 0.5000 0.5000 0.7500  4 K 3.42, 8 Os 3.60
Sc1 0.5000 0.5000 0.2500  8 Os 2.72


R) DFT (PBE) results for a relaxed KScOs2 crystal.

Properties
The space group is R3m (160). The calculation puts the density of states at the Fermi level at 5.0 states/eV/f.u. Its spin magnetization is 0.00 μB per formula unit.

a b c (Å): 10.8572 10.8572 10.8572
angles (deg): 15.56 15.56 15.56
Last column: nearest neighbours and their distance in Å.
Fractional positions:
Os1 0.9840 0.9840 0.9840  3 Os 2.61
Os2 0.2555 0.2555 0.2555  3 Os 2.61, 3 Sc 2.83
K1 0.7423 0.7423 0.7423  6 K 2.94
Sc1 0.5182 0.5182 0.5182  3 Os 2.83, 6 Sc 2.94


Most stable to least stable: R), Q), P)